No. 1
First-principles (PBE) data for a relaxed structure of TmHf2Fe, as listed in Alexandria.

Output
Fermi-level density of states	4.4	states/eV per cell
energy relative to the elements	301	meV/atom
ΔE to the lowest computed polymorph	1.16	eV/f.u.
SG	R-3m (166)

a = 10.0558 Å, b = 10.0558 Å, c = 10.0558 Å
α = 18.40°, β = 18.40°, γ = 18.40°
With the nearest neighbours (Å) after each atom.
Sites, in units of the cell vectors:
Tm: 0.0000 0.0000 0.0000  2 Hf 3.18, 6 Tm 3.21
Hf: 0.1073 0.1073 0.1073  3 Fe 2.56
Hf: 0.8927 0.8927 0.8927  3 Fe 2.56
Fe: 0.5000 0.5000 0.5000  6 Hf 2.56

No. 2
First-principles (PBE) data for a relaxed structure of FeSiC2, as listed in Alexandria.

Output
Fermi-level density of states	1.3	states/eV per cell
energy relative to the elements, uncorrected	604	meV per atom
SG	Cm (8)

a = 4.7250 Å, b = 4.7250 Å, c = 3.6862 Å
α = 95.34°, β = 95.34°, γ = 32.11°
With the nearest neighbours (Å) after each atom.
Sites, in units of the cell vectors:
Fe: 0.0000 0.0000 0.0000  3 C 1.88-2.09
Si: 0.4086 0.4086 0.4859  2 C 1.90
C: 0.6493 0.6493 0.0697  1 C 1.37
C: 0.7943 0.7943 0.2088  1 C 1.37

No. 3
First-principles (PBE) data for a relaxed structure of LiCu4Ge, as listed in Alexandria.

Output
Fermi-level density of states	4.2	states/eV per cell
energy relative to the elements	-6	meV/atom
ΔE to the lowest computed polymorph	0.12	eV/f.u.
SG	Cmcm (63)

a = 8.5579 Å, b = 8.5579 Å, c = 5.1574 Å
α = 90.00°, β = 90.00°, γ = 155.01°
With the nearest neighbours (Å) after each atom.
Sites, in units of the cell vectors:
Li: 0.0831 0.9169 0.7500  11 Cu 2.55-2.65
Li: 0.9169 0.0831 0.2500  11 Cu 2.55-2.65
Cu: 0.0717 0.9283 0.2500  8 Cu 2.55-2.60, 1 Ge 2.58, 3 Li 2.59
Cu: 0.3488 0.6512 0.5071  3 Ge 2.44-2.56, 5 Cu 2.51-2.65, 2 Li 2.55
Cu: 0.3488 0.6512 0.9929  3 Ge 2.44-2.56, 5 Cu 2.51-2.65, 2 Li 2.55
Cu: 0.5000 0.5000 0.0000  8 Cu 2.53-2.58, 4 Li 2.65
Cu: 0.5000 0.5000 0.5000  8 Cu 2.53-2.58, 4 Li 2.65
Cu: 0.6512 0.3488 0.0071  3 Ge 2.44-2.56, 5 Cu 2.51-2.65, 2 Li 2.55
Cu: 0.6512 0.3488 0.4929  3 Ge 2.44-2.56, 5 Cu 2.51-2.65, 2 Li 2.55
Cu: 0.9283 0.0717 0.7500  8 Cu 2.55-2.60, 1 Ge 2.58, 3 Li 2.59
Ge: 0.2261 0.7739 0.2500  7 Cu 2.44-2.58
Ge: 0.7739 0.2261 0.7500  7 Cu 2.44-2.58